NaSm3Pu2Se6: relaxed, PBE.

abc: 18.236 4.164 8.365
angles: 90.00 103.47 90.00
Space group C2/m (No. 12)
One atom of each set of equivalent atoms:
Na: 0.000 0.000 0.000 [2 per cell]
Sm: 0.000 0.000 0.500 [2 per cell]
Sm: 0.166 0.500 0.831 [4 per cell]
Pu: 0.167 0.500 0.333 [4 per cell]
Se: 0.000 0.500 0.251 [4 per cell]
Se: 0.167 0.000 0.084 [4 per cell]
Se: 0.167 0.000 0.581 [4 per cell]

Summary:
V   25.74 Å³ per atom
DFT total energy   -7.1028 eV per atom
Raw formation energy   -1682 meV per atom

Na3Sm3PuSe8: relaxed, PBE.

abc: 8.4370 8.4370 21.0934
angles: 90.00 90.00 120.00
Space group R-3m (No. 166, hexagonal axes)
One atom of each set of equivalent atoms:
Na: 0.0000 0.5000 0.0000 [9 per cell]
Sm: 0.0000 0.5000 0.5000 [9 per cell]
Pu: 0.0000 0.0000 0.5000 [3 per cell]
Se: 0.0000 0.0000 0.2448 [6 per cell]
Se: 0.0094 0.5047 0.2419 [18 per cell]

Summary:
V   28.90 Å³ per atom
DFT total energy   -5.6034 eV per atom
Raw formation energy   -1582 meV per atom

Na3SmPu2Se6: relaxed, PBE.

abc: 7.309 12.659 7.376
angles: 90.00 109.29 90.00
Space group C2/m (No. 12)
One atom of each set of equivalent atoms:
Na: 0.000 0.000 0.000 [2 per cell]
Na: 0.000 0.334 0.000 [4 per cell]
Sm: 0.000 0.500 0.500 [2 per cell]
Pu: 0.000 0.167 0.500 [4 per cell]
Se: 0.241 0.000 0.732 [4 per cell]
Se: 0.245 0.332 0.732 [8 per cell]

Summary:
V   26.84 Å³ per atom
DFT total energy   -6.3502 eV per atom
Raw formation energy   -1496 meV per atom

NaSm4Pu3Se8: relaxed, PBE.

abc: 8.3334 8.3334 20.4531
angles: 90.00 90.00 120.00
Space group R-3m (No. 166, hexagonal axes)
One atom of each set of equivalent atoms:
Na: 0.0000 0.0000 0.0000 [3 per cell]
Sm: 0.0000 0.0000 0.5000 [3 per cell]
Sm: 0.0000 0.5000 0.5000 [9 per cell]
Pu: 0.0000 0.5000 0.0000 [9 per cell]
Se: 0.0000 0.0000 0.2512 [6 per cell]
Se: 0.9999 0.4999 0.2504 [18 per cell]

Summary:
V   25.63 Å³ per atom
DFT total energy   -7.3781 eV per atom
Raw formation energy   -1686 meV per atom

Na2PuSn3Se6: relaxed, PBE.

abc: 7.347 12.663 7.439
angles: 90.00 108.73 90.00
Space group C2/m (No. 12)
One atom of each set of equivalent atoms:
Na: 0.000 0.168 0.000 [4 per cell]
Pu: 0.000 0.500 0.000 [2 per cell]
Sn: 0.000 0.000 0.500 [2 per cell]
Sn: 0.000 0.337 0.500 [4 per cell]
Se: 0.230 0.500 0.745 [4 per cell]
Se: 0.237 0.345 0.240 [8 per cell]

Summary:
V   27.31 Å³ per atom
DFT total energy   -4.9883 eV per atom
Raw formation energy   -831 meV per atom

NaPuSn2Se4: relaxed, PBE.

abc: 7.258 4.249 7.472
angles: 90.00 108.68 90.00
Space group P2/m (No. 10)
One atom of each set of equivalent atoms:
Na: 0.000 0.000 0.000 [1 per cell]
Pu: 0.500 0.500 0.000 [1 per cell]
Sn: 0.000 0.500 0.500 [1 per cell]
Sn: 0.500 0.000 0.500 [1 per cell]
Se: 0.259 0.500 0.246 [2 per cell]
Se: 0.263 0.000 0.762 [2 per cell]

Summary:
V   27.29 Å³ per atom
DFT total energy   -5.5575 eV per atom
Raw formation energy   -858 meV per atom

> Look up the raw formation energy of the first one.

-1682 meV per atom

> raw formation energy of number 2 (Na3Sm3PuSe8)?

-1582 meV per atom

> Look up the DFT total energy of the fifth one.

-4.9883 eV per atom